Entry 1:
Entry from Alexandria: a relaxed Hf2Tl2Sn crystal (PBE).

abc: 7.4474 7.4474 4.4861
angles: 90.00 90.00 90.00
Space group P4/mbm (No. 127)
Symmetry-distinct sites (fractional):
Hf 0.1501 0.3499 0.0000 [4 per cell]
Tl 0.1557 0.6557 0.5000 [4 per cell]
Sn 0.0000 0.0000 0.0000 [2 per cell]

ΔH_f (0 K)	87	meV/atom
total energy	-56.41	eV/cell

Entry 2:
Entry from Alexandria: a relaxed Tb2Be4GaIr3 crystal (PBE).

abc: 3.8657 3.8657 10.0737
angles: 90.00 90.00 90.00
Space group P-4m2 (No. 115)
Symmetry-distinct sites (fractional):
Tb 0.0000 0.5000 0.2419 [2 per cell]
Be 0.0000 0.0000 0.0000 [1 per cell]
Be 0.0000 0.5000 0.6384 [2 per cell]
Be 0.5000 0.5000 0.0000 [1 per cell]
Ga 0.0000 0.0000 0.5000 [1 per cell]
Ir 0.0000 0.5000 0.8736 [2 per cell]
Ir 0.5000 0.5000 0.5000 [1 per cell]

ΔH_f (0 K)	-576	meV/atom
total energy	-59.54	eV/cell

Entry 3:
Entry from Alexandria: a relaxed SrTbY2 crystal (PBE).

abc: 3.6786 3.6786 36.7847
angles: 90.00 90.00 120.00
Space group R-3m (No. 166, hexagonal axes)
Symmetry-distinct sites (fractional):
Sr 0.0000 0.0000 0.0000 [3 per cell]
Tb 0.0000 0.0000 0.5000 [3 per cell]
Y 0.0000 0.0000 0.2433 [6 per cell]

ΔH_f (0 K)	133	meV/atom
total energy	-56.13	eV/cell
energy relative to the lowest polymorph listed for this composition	14	meV per atom

Among the records above, which one has the highest total energy? SrTbY2